(1)
Density functional theory data (PBE) for crystalline Ba2NaSmSe4 at its relaxed geometry.

Cell lengths 4.488, 7.767, 7.723 Å; angles 108.81, 90.00, 90.00 degrees
Atoms (fractional coordinates):
Se1 0.500 0.768 0.780
Se2 0.500 0.232 0.220
Se3 0.000 0.757 0.226
Se4 0.000 0.243 0.774
Ba1 0.000 0.500 0.500
Ba2 0.500 0.000 0.500
Na1 0.500 0.500 0.000
Sm1 0.000 0.000 0.000

Computed properties:
uncorrected formation energy: -1.81 eV/atom
symmetry: No. 10

(2)
Density functional theory data (PBE) for crystalline CaTiZnPt2 at its relaxed geometry.

Cell lengths 4.063, 4.063, 6.553 Å; angles 108.06, 108.06, 90.00 degrees
Atoms (fractional coordinates):
Zn1 0.750 0.250 0.500
Pt1 0.387 0.387 0.773
Pt2 0.613 0.613 0.227
Ti1 0.250 0.750 0.500
Ca1 0.000 0.000 0.000

Computed properties:
calculated formation energy: -0.779 eV/atom
DOS(E_F): 3.25 states/eV/cell
symmetry: No. 119

(3)
Density functional theory data (PBE) for crystalline NbMo3Os at its relaxed geometry.

Cell lengths 4.636, 4.636, 4.636 Å; angles 90.00, 90.00, 90.00 degrees
Atoms (fractional coordinates):
Mo1 0.000 0.500 0.000
Mo2 0.000 0.000 0.500
Mo3 0.500 0.000 0.000
Os1 0.500 0.500 0.500
Nb1 0.000 0.000 0.000

Computed properties:
calculated formation energy: 2.215 eV/atom
distance to the lowest polymorph of the same formula: 0.6538 eV/atom
DOS(E_F): 5.43 states/eV/cell
symmetry: No. 221

(4)
Density functional theory data (PBE) for crystalline Sr2CdSb2 at its relaxed geometry.

Cell lengths 9.641, 9.641, 3.713 Å; angles 90.00, 90.00, 90.00 degrees
Atoms (fractional coordinates):
Sr1 0.362 0.862 0.000
Sr2 0.862 0.638 0.000
Sr3 0.638 0.138 0.000
Sr4 0.138 0.362 0.000
Sb1 0.663 0.837 0.500
Sb2 0.337 0.163 0.500
Sb3 0.837 0.337 0.500
Sb4 0.163 0.663 0.500
Cd1 0.000 0.000 0.000
Cd2 0.500 0.500 0.000

Computed properties:
uncorrected formation energy: -0.53 eV/atom
DOS(E_F): 7.78 states/eV/cell
symmetry: No. 127

(5)
Density functional theory data (PBE) for crystalline Tb2Cu2O5 at its relaxed geometry.

Cell lengths 3.961, 4.891, 6.682 Å; angles 112.59, 107.24, 90.00 degrees
Site moments in Bohr magnetons follow the coordinates.
Atoms (fractional coordinates):
O1 0.590 0.804 0.180  0.04
O2 0.000 0.000 0.000  0.02
O3 0.410 0.196 0.820  0.04
O4 0.190 0.574 0.380  0.03
O5 0.810 0.426 0.620  0.03
Cu1 0.899 0.198 0.798  0.13
Cu2 0.101 0.802 0.202  0.13
Tb1 0.381 0.666 0.763  0.00
Tb2 0.619 0.334 0.237  0.00

Computed properties:
uncorrected formation energy: -2.18 eV/atom
DOS(E_F): 3.11 states/eV/cell
symmetry: No. 12

(6)
Density functional theory data (PBE) for crystalline Na3HfCr at its relaxed geometry.

Cell lengths 6.057, 6.057, 6.057 Å; angles 90.00, 90.00, 90.00 degrees
Site moments in Bohr magnetons follow the coordinates.
Atoms (fractional coordinates):
Hf1 0.000 0.000 0.000  0.04
Cr1 0.500 0.500 0.500  4.32
Na1 0.000 0.500 0.000  -0.01
Na2 0.000 0.000 0.500  0.00
Na3 0.500 0.000 0.000  -0.01

Computed properties:
calculated formation energy: 1.855 eV/atom
distance to the lowest polymorph of the same formula: 0.3876 eV/atom
DOS(E_F): 10.63 states/eV/cell
symmetry: No. 221

(7)
Density functional theory data (PBE) for crystalline NdSm2Te4 at its relaxed geometry.

Cell lengths 4.343, 7.630, 15.223 Å; angles 90.00, 90.00, 106.53 degrees
Atoms (fractional coordinates):
Te1 0.500 0.000 0.000
Te2 0.778 0.556 0.377
Te3 0.966 0.932 0.750
Te4 0.778 0.556 0.123
Te5 0.222 0.444 0.877
Te6 0.034 0.068 0.250
Te7 0.222 0.444 0.623
Te8 0.500 0.000 0.500
Sm1 0.131 0.263 0.431
Sm2 0.869 0.737 0.931
Sm3 0.869 0.737 0.569
Sm4 0.131 0.263 0.069
Nd1 0.374 0.748 0.250
Nd2 0.626 0.252 0.750

Computed properties:
distance to the lowest polymorph of the same formula: 0.0058 eV/atom
uncorrected formation energy: -1.41 eV/atom
DOS(E_F): 5.53 states/eV/cell
symmetry: No. 63

(8)
Density functional theory data (PBE) for crystalline KBPt3 at its relaxed geometry.

Cell lengths 2.818, 7.531, 8.439 Å; angles 90.00, 89.99, 90.00 degrees
Atoms (fractional coordinates):
Pt1 0.250 0.062 0.179
Pt2 0.750 0.750 0.131
Pt3 0.750 0.938 0.821
Pt4 0.250 0.438 0.179
Pt5 0.750 0.562 0.821
Pt6 0.250 0.250 0.869
K1 0.750 0.250 0.502
K2 0.250 0.750 0.498
B1 0.750 0.250 0.081
B2 0.250 0.750 0.919

Computed properties:
calculated formation energy: -0.192 eV/atom
DOS(E_F): 3.36 states/eV/cell
symmetry: No. 59